U3MnTl4Se8 | PBE | relaxed

Properties
- Raw formation energy: -786 meV per atom
- Energy: -5.810 eV/atom

Cell lengths 8.2382, 8.2382, 23.5603 Å; angles 90.00, 90.00, 120.00 degrees
Space group R-3m (No. 166, hexagonal axes)
Asymmetric unit:
1 U 0.0000 0.5000 0.0000 (multiplicity 9)
2 Mn 0.0000 0.0000 0.0000 (multiplicity 3)
3 Tl 0.0000 0.0000 0.5000 (multiplicity 3)
4 Tl 0.0000 0.5000 0.5000 (multiplicity 9)
5 Se 0.0000 0.0000 0.2639 (multiplicity 6)
6 Se 0.0119 0.5060 0.7330 (multiplicity 18)

---

LiCa2CeS4 | PBE | relaxed

Properties
- Raw formation energy: -1915 meV per atom
- Energy: -5.461 eV/atom

Cell lengths 6.863, 4.052, 6.957 Å; angles 90.00, 108.82, 90.00 degrees
Space group P2/m (No. 10)
Asymmetric unit:
1 Li 0.000 0.000 0.000 (multiplicity 1)
2 Ca 0.000 0.500 0.500 (multiplicity 1)
3 Ca 0.500 0.000 0.500 (multiplicity 1)
4 Ce 0.500 0.500 0.000 (multiplicity 1)
5 S 0.247 0.000 0.753 (multiplicity 2)
6 S 0.252 0.500 0.248 (multiplicity 2)

---

TbCdPd6 | PBE | relaxed

Properties
- Energy: -5.133 eV/atom
- Relative energy among the computed polymorphs: 0 meV per atom

Cell lengths 4.079, 4.079, 8.193 Å; angles 90.00, 90.00, 90.00 degrees
Space group P4/mmm (No. 123)
Asymmetric unit:
1 Tb 0.000 0.000 0.000 (multiplicity 1)
2 Cd 0.000 0.000 0.500 (multiplicity 1)
3 Pd 0.000 0.500 0.255 (multiplicity 4)
4 Pd 0.500 0.500 0.000 (multiplicity 1)
5 Pd 0.500 0.500 0.500 (multiplicity 1)

---

Pm6Rh3Br2 | PBE | relaxed

Properties
- Raw formation energy: -878 meV per atom
- Energy: -5.778 eV/atom

Cell lengths 7.113, 12.335, 7.922 Å; angles 90.00, 107.52, 90.00 degrees
Space group C2/m (No. 12)
Asymmetric unit:
1 Pm 0.230 0.000 0.199 (multiplicity 4)
2 Pm 0.236 0.335 0.202 (multiplicity 8)
3 Rh 0.000 0.170 0.000 (multiplicity 4)
4 Rh 0.000 0.500 0.000 (multiplicity 2)
5 Br 0.000 0.334 0.500 (multiplicity 4)

---

CaPr3 | PBE | relaxed

Properties
- Energy: -4.026 eV/atom

Cell lengths 5.294, 5.294, 10.508 Å; angles 90.00, 90.00, 90.00 degrees
Space group I4/mmm (No. 139)
Asymmetric unit:
1 Ca 0.000 0.000 0.000 (multiplicity 2)
2 Pr 0.000 0.000 0.500 (multiplicity 2)
3 Pr 0.000 0.500 0.250 (multiplicity 4)

---

Cs3Sm3TmSe8 | PBE | relaxed

Properties
- Raw formation energy: -1660 meV per atom
- Energy: -4.931 eV/atom

Cell lengths 14.747, 8.512, 9.890 Å; angles 90.00, 119.86, 90.00 degrees
Space group C2/m (No. 12)
Asymmetric unit:
1 Cs 0.000 0.000 0.000 (multiplicity 2)
2 Cs 0.250 0.250 0.000 (multiplicity 4)
3 Sm 0.000 0.500 0.500 (multiplicity 2)
4 Sm 0.250 0.250 0.500 (multiplicity 4)
5 Tm 0.000 0.000 0.500 (multiplicity 2)
6 Se 0.020 0.244 0.317 (multiplicity 8)
7 Se 0.224 0.000 0.683 (multiplicity 4)
8 Se 0.230 0.500 0.689 (multiplicity 4)

---

Sn3Sb2Au | PBE | relaxed

Properties
- Raw formation energy: 23 meV per atom
- Energy: -3.899 eV/atom

Cell lengths 3.258, 5.412, 18.144 Å; angles 90.00, 90.00, 90.00 degrees
Space group Immm (No. 71)
Asymmetric unit:
1 Sn 0.000 0.000 0.000 (multiplicity 2)
2 Sn 0.000 0.000 0.346 (multiplicity 4)
3 Sb 0.000 0.000 0.172 (multiplicity 4)
4 Au 0.000 0.000 0.500 (multiplicity 2)

---

SnAu2Cl | PBE | relaxed

Properties
- Raw formation energy: 159 meV per atom
- Energy: -2.942 eV/atom
- Relative energy among the computed polymorphs: 266 meV per atom

Cell lengths 7.016, 7.016, 7.016 Å; angles 90.00, 90.00, 90.00 degrees
Space group Fm-3m (No. 225)
Asymmetric unit:
1 Sn 0.000 0.000 0.000 (multiplicity 4)
2 Au 0.250 0.250 0.250 (multiplicity 8)
3 Cl 0.000 0.000 0.500 (multiplicity 4)